(1)
First-principles (GGA-PBE) data for a relaxed structure of EuSi3Rh, as listed in Alexandria.

a = 5.784 Å, b = 5.784 Å, c = 5.784 Å
α = 137.16°, β = 137.16°, γ = 62.20°
Atoms (fractional coordinates):
Eu (0.000, 0.000, 0.000)
Si (0.238, 0.738, 0.500)
Si (0.589, 0.589, 0.000)
Si (0.738, 0.238, 0.500)
Rh (0.348, 0.348, 0.000)

Properties
Raw formation energy = -0.712 eV/atom
Crystal system = tetragonal

***

(2)
First-principles (GGA-PBE) data for a relaxed structure of EuSi2Rh2, as listed in Alexandria.

a = 5.875 Å, b = 5.875 Å, c = 5.875 Å
α = 138.94°, β = 138.94°, γ = 59.47°
Atoms (fractional coordinates):
Eu (0.000, 0.000, 0.000)
Si (0.372, 0.372, 0.000)
Si (0.628, 0.628, 0.000)
Rh (0.250, 0.750, 0.500)
Rh (0.750, 0.250, 0.500)

Properties
Raw formation energy = -0.995 eV/atom
Crystal system = tetragonal

***

(3)
First-principles (GGA-PBE) data for a relaxed structure of EuSiRh, as listed in Alexandria.

a = 4.091 Å, b = 4.091 Å, c = 4.465 Å
α = 90.00°, β = 90.00°, γ = 120.00°
Atoms (fractional coordinates):
Eu (0.000, 0.000, 0.000)
Si (0.333, 0.667, 0.500)
Rh (0.667, 0.333, 0.500)

Properties
Raw formation energy = -0.738 eV/atom
Crystal system = hexagonal

***

(4)
First-principles (GGA-PBE) data for a relaxed structure of EuSi2Rh, as listed in Alexandria.

a = 5.787 Å, b = 5.787 Å, c = 5.787 Å
α = 41.23°, β = 41.23°, γ = 41.23°
Atoms (fractional coordinates):
Eu (0.000, 0.000, 0.000)
Si (0.210, 0.210, 0.210)
Si (0.790, 0.790, 0.790)
Rh (0.500, 0.500, 0.500)

Properties
Raw formation energy = -0.758 eV/atom
Crystal system = trigonal

***

(5)
First-principles (GGA-PBE) data for a relaxed structure of SmEuRh, as listed in Alexandria.

a = 7.100 Å, b = 7.100 Å, c = 7.100 Å
α = 151.11°, β = 151.11°, γ = 41.31°
Atoms (fractional coordinates):
Sm (0.000, 0.000, 0.000)
Eu (0.744, 0.744, 0.000)
Rh (0.387, 0.387, 0.000)

Properties
Energy of formation from the pure elements = -0.4177 eV/atom
Crystal system = tetragonal

***

(6)
First-principles (GGA-PBE) data for a relaxed structure of SmEuRh2, as listed in Alexandria.

a = 4.954 Å, b = 4.954 Å, c = 4.954 Å
α = 60.00°, β = 60.00°, γ = 60.00°
Atoms (fractional coordinates):
Sm (0.000, 0.000, 0.000)
Eu (0.500, 0.500, 0.500)
Rh (0.250, 0.250, 0.250)
Rh (0.750, 0.750, 0.750)

Properties
Energy of formation from the pure elements = -0.5335 eV/atom
Crystal system = cubic

***

(7)
First-principles (GGA-PBE) data for a relaxed structure of SmEuRh, as listed in Alexandria.

a = 4.927 Å, b = 4.927 Å, c = 4.927 Å
α = 60.00°, β = 60.00°, γ = 60.00°
Atoms (fractional coordinates):
Sm (0.000, 0.000, 0.000)
Eu (0.500, 0.500, 0.500)
Rh (0.750, 0.750, 0.750)

Properties
Energy of formation from the pure elements = -0.4154 eV/atom
Crystal system = cubic

***

(8)
First-principles (GGA-PBE) data for a relaxed structure of SmEuRh4, as listed in Alexandria.

a = 5.398 Å, b = 5.398 Å, c = 5.398 Å
α = 60.00°, β = 60.00°, γ = 60.00°
Atoms (fractional coordinates):
Sm (0.000, 0.000, 0.000)
Eu (0.750, 0.750, 0.750)
Rh (0.375, 0.375, 0.375)
Rh (0.375, 0.375, 0.875)
Rh (0.375, 0.875, 0.375)
Rh (0.875, 0.375, 0.375)

Properties
Energy of formation from the pure elements = -0.5771 eV/atom
Crystal system = cubic